Record 1
Computed, not measured: a relaxed structure of KRbCdSn at the GGA-PBE level of DFT.

CIF file:
```
data_KRbCdSn
_chemical_formula_sum 'K4 Rb4 Cd4 Sn4'
_cell_length_a 6.645
_cell_length_b 11.214
_cell_length_c 8.499
_cell_angle_alpha 90.00
_cell_angle_beta 90.00
_cell_angle_gamma 90.00
_space_group_name_H-M_alt 'A m m 2'
_space_group_IT_number 38
_space_group_name_Hall 'A 2 -2'
loop_
_atom_site_label
_atom_site_fract_x
_atom_site_fract_y
_atom_site_fract_z
_atom_site_occupancy
K1 0.000 0.171 0.000 1
Rb1 0.500 0.172 0.697 1
Cd1 0.250 0.000 0.345 1
Sn1 0.000 0.000 0.612 1
Sn2 0.500 0.000 0.079 1
```

***

Record 2
# RbEr | the Open Quantum Materials Database | GGA-PBE | relaxed
data_RbEr
_chemical_formula_sum 'Rb1 Er1'
_cell_length_a 3.6951
_cell_length_b 3.6951
_cell_length_c 7.3598
_cell_angle_alpha 90.00
_cell_angle_beta 90.00
_cell_angle_gamma 120.00
_space_group_name_H-M_alt 'P -6 m 2'
_space_group_IT_number 187
_space_group_name_Hall 'P -6 2'
loop_
_atom_site_label
_atom_site_fract_x
_atom_site_fract_y
_atom_site_fract_z
_atom_site_occupancy
Rb1 0.0000 0.0000 0.0000 1
Er1 0.3333 0.6667 0.5000 1
# Total moment in μB per cell: 0.92

***

| no. | uncorrected energy (eV/f.u.) |
| --- | --- |
| 1 | -7.8 |
| 2 | -4.2 |